Entry 1:
A plane-wave DFT calculation with PBE-GGA was carried out for a relaxed structure of ScRuOF2.

Total moment = 0.00 μB/cell
Formation energy without anion corrections = -1111 meV per atom
Energy above the lowest structure with this stoichiometry = 0.6410 eV per atom

a b c (Å): 4.414 4.414 3.717
angles (deg): 90.00 90.00 90.00
Space group P4/mmm (No. 123)
One atom of each set of equivalent atoms:
Sc1 0.000 0.000 0.000 (multiplicity 1)
Ru1 0.500 0.500 0.500 (multiplicity 1)
O1 0.500 0.500 0.000 (multiplicity 1)
F1 0.000 0.500 0.500 (multiplicity 2)

=====

Entry 2:
A plane-wave DFT calculation with PBE-GGA was carried out for a relaxed structure of ScRuO2F.

Total moment = 0.39 μB/cell
Formation energy without anion corrections = -1192 meV per atom

a b c (Å): 3.966 3.966 4.005
angles (deg): 90.00 90.00 90.00
Space group P4/mmm (No. 123)
One atom of each set of equivalent atoms:
Sc1 0.000 0.000 0.000 (multiplicity 1)
Ru1 0.500 0.500 0.500 (multiplicity 1)
O1 0.000 0.500 0.500 (multiplicity 2)
F1 0.500 0.500 0.000 (multiplicity 1)

=====

Entry 3:
A plane-wave DFT calculation with PBE-GGA was carried out for a relaxed structure of ScRuOF2.

Total moment = 3.06 μB/cell
Formation energy without anion corrections = -1752 meV per atom
Energy above the lowest structure with this stoichiometry = 0.0000 eV per atom

a b c (Å): 4.110 4.110 4.106
angles (deg): 90.00 90.00 90.00
Space group P4/mmm (No. 123)
One atom of each set of equivalent atoms:
Sc1 0.000 0.000 0.000 (multiplicity 1)
Ru1 0.500 0.500 0.500 (multiplicity 1)
O1 0.000 0.000 0.500 (multiplicity 1)
F1 0.000 0.500 0.000 (multiplicity 2)

=====

Entry 4:
A plane-wave DFT calculation with PBE-GGA was carried out for a relaxed structure of ScRuO2F.

Total moment = 4.12 μB/cell
Formation energy without anion corrections = -680 meV per atom

a b c (Å): 3.892 3.892 6.209
angles (deg): 90.00 90.00 90.00
Space group P4/mmm (No. 123)
One atom of each set of equivalent atoms:
Sc1 0.000 0.000 0.000 (multiplicity 1)
Ru1 0.000 0.000 0.500 (multiplicity 1)
O1 0.000 0.500 0.000 (multiplicity 2)
F1 0.500 0.500 0.500 (multiplicity 1)

=====

- What is the formula in the third record?
  ScRuOF2

=====

- Which value of total moment does entry 3 give?
  3.06 μB/cell